DFT (GGA-PBE) results for HfMnGe2 after structural relaxation.

Cell: 3.9988 3.9988 9.5444 Å, 77.91 77.91 90.00°
Closest atoms and distances in Å follow each position.
Positions (direct):
Ge: 0.1649 0.6250 0.2500  2 Ge 2.61, 2 Mn 2.63, 2 Hf 2.75
Ge: 0.3750 0.4149 0.7500  2 Ge 2.61, 2 Mn 2.63, 2 Hf 2.75
Ge: 0.8750 0.8351 0.7500  2 Ge 2.61, 2 Mn 2.63, 2 Hf 2.75
Ge: 0.5851 0.1250 0.2500  2 Ge 2.61, 2 Mn 2.63, 2 Hf 2.75
Mn: 0.5000 0.5000 0.0000  4 Ge 2.63, 4 Hf 2.83
Mn: 0.2500 0.7500 0.5000  4 Ge 2.63, 4 Hf 2.83
Hf: 0.7500 0.2500 0.5000  4 Ge 2.75, 4 Mn 2.83
Hf: 0.0000 0.0000 0.0000  4 Ge 2.75, 4 Mn 2.83

Calculated values
Formation energy from the elements: 112 meV/atom
Density of states at the Fermi level: 3.96 states/eV per cell

=====

DFT (GGA-PBE) results for Th6SiSb3P2 after structural relaxation.

Cell: 4.2974 8.7871 9.7841 Å, 104.76 102.69 90.00°
Closest atoms and distances in Å follow each position.
Positions (direct):
P: 0.1674 0.3339 0.3347  6 Th 2.93-2.94
P: 0.8326 0.6661 0.6653  6 Th 2.93-2.94
Th: 0.9923 0.7647 0.9846  1 P 2.94, 2 Si 2.96, 3 Sb 3.20-3.22
Th: 0.0077 0.2353 0.0154  1 P 2.94, 2 Si 2.96, 3 Sb 3.20-3.22
Th: 0.3392 0.8978 0.6785  2 P 2.94, 1 Si 2.96, 3 Sb 3.20-3.22
Th: 0.3261 0.4358 0.6522  3 P 2.93, 3 Sb 3.22
Th: 0.6608 0.1022 0.3215  2 P 2.94, 1 Si 2.96, 3 Sb 3.20-3.22
Th: 0.6739 0.5642 0.3478  3 P 2.93, 3 Sb 3.22
Sb: 0.1662 0.8322 0.3324  6 Th 3.20-3.22
Sb: 0.5000 0.5000 0.0000  6 Th 3.20-3.22
Sb: 0.8338 0.1678 0.6676  6 Th 3.20-3.22
Si: 0.5000 0.0000 0.0000  6 Th 2.96

Calculated values
Density of states at the Fermi level: 5.65 states/eV per cell
Energy relative to the elements, uncorrected: -1.098 eV per atom